VASP calculation (PBE) on crystalline BeTlAs2 at its relaxed geometry.

Summary:
Uncorrected energy ... -3.861 eV/atom
Spin magnetization ... 0.0 μB per cell
Energy of formation ... -0.01 eV per atom
ΔE to the lowest computed polymorph ... 0 meV per atom

Lattice parameters (Å, degrees): 3.793 3.793 12.755 98.07 98.07 93.18
Sites, in units of the cell vectors:
As (0.321, 0.321, 0.609)
As (0.480, 0.918, 0.000)
As (0.918, 0.480, 0.000)
As (0.713, 0.713, 0.391)
Tl (0.903, 0.903, 0.771)
Tl (0.131, 0.131, 0.229)
Be (0.767, 0.267, 0.500)
Be (0.267, 0.767, 0.500)



VASP calculation (PBE) on crystalline Pr8TePb2 at its relaxed geometry.

Summary:
Uncorrected formation energy ... -0.428 eV/atom
Uncorrected energy ... -4.864 eV/atom
Spin magnetization ... 0.0 μB per cell

Lattice parameters (Å, degrees): 4.891 8.065 9.916 92.24 104.28 90.00
Sites, in units of the cell vectors:
Pr (0.663, 0.044, 0.326)
Pr (0.215, 0.362, 0.431)
Pr (0.599, 0.517, 0.197)
Pr (0.337, 0.956, 0.674)
Pr (0.004, 0.251, 0.007)
Pr (0.785, 0.638, 0.569)
Pr (0.996, 0.749, 0.993)
Pr (0.401, 0.483, 0.803)
Pb (0.827, 0.224, 0.654)
Pb (0.173, 0.776, 0.346)
Te (0.500, 0.000, 0.000)



VASP calculation (PBE) on crystalline NaLiNpS3 at its relaxed geometry.

Summary:
Uncorrected formation energy ... -1.306 eV/atom
Uncorrected energy ... -6.065 eV/atom
Spin magnetization ... 6.0 μB per cell

Lattice parameters (Å, degrees): 4.012 9.826 7.053 98.84 90.00 90.00
Each line ends with the local moment (μB).
Sites, in units of the cell vectors:
S (0.250, 0.493, 0.780)  -0.11
S (0.250, 0.830, 0.451)  -0.07
S (0.750, 0.507, 0.220)  -0.11
S (0.250, 0.184, 0.998)  -0.11
S (0.750, 0.170, 0.549)  -0.07
S (0.750, 0.816, 0.002)  -0.11
Li (0.250, 0.055, 0.665)  0.00
Li (0.750, 0.945, 0.335)  0.00
Np (0.750, 0.325, 0.882)  3.27
Np (0.250, 0.675, 0.118)  3.27
Na (0.250, 0.321, 0.384)  0.00
Na (0.750, 0.679, 0.616)  0.00



VASP calculation (PBE) on crystalline RbSbTe2Mo at its relaxed geometry.

Summary:
Uncorrected formation energy ... 0.022 eV/atom
Uncorrected energy ... -4.419 eV/atom
Spin magnetization ... 0.0 μB per cell
ΔE to the lowest computed polymorph ... 0 meV per atom

Lattice parameters (Å, degrees): 5.523 5.523 5.300 90.00 90.00 90.00
Sites, in units of the cell vectors:
Te (0.000, 0.500, 0.000)
Te (0.500, 0.000, 0.000)
Rb (0.500, 0.500, 0.500)
Mo (0.000, 0.000, 0.000)
Sb (0.000, 0.000, 0.500)



VASP calculation (PBE) on crystalline CuReSb2Pt at its relaxed geometry.

Summary:
Uncorrected formation energy ... 1.001 eV/atom
Uncorrected energy ... -5.165 eV/atom
Spin magnetization ... 0.0 μB per cell

Lattice parameters (Å, degrees): 5.053 4.695 5.053 90.00 90.00 90.00
Sites, in units of the cell vectors:
Re (0.000, 0.000, 0.000)
Sb (0.000, 0.000, 0.500)
Sb (0.500, 0.000, 0.000)
Cu (0.000, 0.500, 0.000)
Pt (0.500, 0.500, 0.500)



VASP calculation (PBE) on crystalline SrSi2Os at its relaxed geometry.

Summary:
Uncorrected formation energy ... 0.082 eV/atom
Uncorrected energy ... -5.857 eV/atom
Spin magnetization ... 0.0 μB per cell

Lattice parameters (Å, degrees): 5.091 5.091 5.091 132.16 108.79 90.38
Sites, in units of the cell vectors:
Os (0.250, 0.750, 0.500)
Si (0.082, 0.082, 0.000)
Si (0.418, 0.418, 0.000)
Sr (0.750, 0.250, 0.500)



VASP calculation (PBE) on crystalline MgTa2Au at its relaxed geometry.

Summary:
Uncorrected energy ... -7.101 eV/atom
Spin magnetization ... 0.0 μB per cell
Energy of formation ... 0.04 eV per atom

Lattice parameters (Å, degrees): 3.456 3.456 6.184 90.00 90.00 90.00
Sites, in units of the cell vectors:
Au (0.000, 0.000, 0.515)
Ta (0.500, 0.500, 0.229)
Ta (0.000, 0.000, 0.018)
Mg (0.500, 0.500, 0.738)



VASP calculation (PBE) on crystalline CsAl2FePd at its relaxed geometry.

Summary:
Uncorrected energy ... -2.295 eV/atom
Spin magnetization ... 3.0 μB per cell
Energy of formation ... 2.10 eV per atom

Lattice parameters (Å, degrees): 5.967 5.215 5.967 90.00 90.00 90.00
Each line ends with the local moment (μB).
Sites, in units of the cell vectors:
Pd (0.000, 0.500, 0.000)  -0.01
Al (0.000, 0.000, 0.500)  -0.02
Al (0.500, 0.000, 0.000)  -0.03
Fe (0.500, 0.500, 0.500)  3.33
Cs (0.000, 0.000, 0.000)  -0.02



VASP calculation (PBE) on crystalline CePmMgIn at its relaxed geometry.

Summary:
Uncorrected energy ... -3.980 eV/atom
Spin magnetization ... 1.0 μB per cell
Energy of formation ... -0.23 eV per atom
ΔE to the lowest computed polymorph ... 0 meV per atom

Lattice parameters (Å, degrees): 5.445 5.445 5.445 60.00 60.00 60.00
Each line ends with the local moment (μB).
Sites, in units of the cell vectors:
In (0.500, 0.500, 0.500)  -0.01
Ce (0.250, 0.250, 0.250)  0.81
Pm (0.750, 0.750, 0.750)  0.03
Mg (0.000, 0.000, 0.000)  0.01



VASP calculation (PBE) on crystalline K2CrRe at its relaxed geometry.

Summary:
Uncorrected energy ... -4.532 eV/atom
Spin magnetization ... 3.8 μB per cell
Energy of formation ... 1.53 eV per atom
ΔE to the lowest computed polymorph ... 673 meV per atom

Lattice parameters (Å, degrees): 12.272 12.272 12.272 13.77 13.77 13.77
Each line ends with the local moment (μB).
Sites, in units of the cell vectors:
K (0.996, 0.996, 0.996)  -0.01
K (0.504, 0.504, 0.504)  -0.01
Cr (0.750, 0.750, 0.750)  3.64
Re (0.250, 0.250, 0.250)  -0.16